(1)
A plane-wave DFT calculation with PBE was carried out for an optimized crystal structure of Cs2Tl6SbAu.

Structure (CIF):
```
data_Cs2Tl6SbAu
_cell_length_a 8.582
_cell_length_b 8.582
_cell_length_c 14.079
_cell_angle_alpha 72.26
_cell_angle_beta 72.26
_cell_angle_gamma 60.00
_symmetry_space_group_name_H-M 'P 1'
_symmetry_Int_Tables_number 1
loop_
_symmetry_equiv_pos_as_xyz
'x,y,z'
loop_
_atom_site_label
_atom_site_fract_x
_atom_site_fract_y
_atom_site_fract_z
Cs1 0.849 0.849 0.452
Cs2 0.151 0.151 0.548
Cs3 0.711 0.711 0.868
Cs4 0.289 0.289 0.132
Tl1 0.828 0.417 0.338
Tl2 0.417 0.828 0.338
Tl3 0.417 0.417 0.338
Tl4 0.172 0.583 0.662
Tl5 0.583 0.172 0.662
Tl6 0.583 0.583 0.662
Tl7 0.802 0.187 0.824
Tl8 0.187 0.802 0.824
Tl9 0.187 0.187 0.824
Tl10 0.198 0.813 0.176
Tl11 0.813 0.198 0.176
Tl12 0.813 0.813 0.176
Sb1 0.617 0.617 0.148
Sb2 0.383 0.383 0.852
Au1 0.000 0.000 0.000
Au2 0.500 0.500 0.500
```

## Properties
Magnetic moment = 0.000 μB/f.u.
V = 420.2 Å³/f.u.
Density = 7.2 Mg/m³
Raw formation energy = -0.08 eV per atom

---

(2)
A plane-wave DFT calculation with PBE was carried out for an optimized crystal structure of LiZn7Pd3.

Structure (CIF):
```
data_LiZn7Pd3
_cell_length_a 4.568
_cell_length_b 6.587
_cell_length_c 6.587
_cell_angle_alpha 88.56
_cell_angle_beta 110.14
_cell_angle_gamma 110.14
_symmetry_space_group_name_H-M 'P 1'
_symmetry_Int_Tables_number 1
loop_
_symmetry_equiv_pos_as_xyz
'x,y,z'
loop_
_atom_site_label
_atom_site_fract_x
_atom_site_fract_y
_atom_site_fract_z
Li1 0.500 0.500 0.500
Zn1 0.181 0.179 0.179
Zn2 0.329 0.067 0.590
Zn3 0.671 0.410 0.933
Zn4 0.329 0.590 0.067
Zn5 0.000 0.500 0.500
Zn6 0.671 0.933 0.410
Zn7 0.819 0.821 0.821
Pd1 0.000 0.769 0.231
Pd2 0.500 0.000 0.000
Pd3 0.000 0.231 0.769
```

## Properties
Magnetic moment = 0.000 μB/f.u.
ΔE_f = -0.22 eV per atom
V = 173.7 Å³/f.u.
Density = 7.5 Mg/m³

---

(3)
A plane-wave DFT calculation with PBE was carried out for an optimized crystal structure of AlHg6Pd12.

Structure (CIF):
```
data_AlHg6Pd12
_cell_length_a 6.985
_cell_length_b 6.985
_cell_length_c 6.985
_cell_angle_alpha 93.87
_cell_angle_beta 93.87
_cell_angle_gamma 93.87
_symmetry_space_group_name_H-M 'P 1'
_symmetry_Int_Tables_number 1
loop_
_symmetry_equiv_pos_as_xyz
'x,y,z'
loop_
_atom_site_label
_atom_site_fract_x
_atom_site_fract_y
_atom_site_fract_z
Al1 0.000 0.000 0.000
Hg1 0.694 0.874 0.266
Hg2 0.734 0.306 0.126
Hg3 0.126 0.734 0.306
Hg4 0.306 0.126 0.734
Hg5 0.266 0.694 0.874
Hg6 0.874 0.266 0.694
Pd1 0.788 0.554 0.466
Pd2 0.466 0.788 0.554
Pd3 0.554 0.466 0.788
Pd4 0.212 0.446 0.534
Pd5 0.534 0.212 0.446
Pd6 0.446 0.534 0.212
Pd7 0.034 0.122 0.348
Pd8 0.878 0.652 0.966
Pd9 0.652 0.966 0.878
Pd10 0.966 0.878 0.652
Pd11 0.122 0.348 0.034
Pd12 0.348 0.034 0.122
```

## Properties
Magnetic moment = 0.000 μB/f.u.
ΔE_f = -0.12 eV per atom
V = 338.3 Å³/f.u.
Density = 12.3 Mg/m³